[1]
The following is a DFT calculation (GGA-PBE) of a relaxed structure of Na2Sn2Au3.

```
Na2Sn2Au3
1.0
4.751 -0.207 -1.663
-2.636 4.297 0.379
-0.818 0.258 8.372
Na Sn Au
2 2 3
Cartesian
0.469 0.696 2.985
0.827 3.652 4.103
-0.961 2.568 6.568
2.257 1.781 0.520
1.363 1.133 5.890
0.000 0.000 0.000
-0.067 3.215 1.198
```

Results
Polymorph energy (0 for the lowest one) in eV/atom: 0.024

---

[2]
The following is a DFT calculation (GGA-PBE) of a relaxed structure of Na8Sn2Au.

```
Na8Sn2Au
1.0
-5.025 1.023 1.515
0.314 -7.444 6.163
2.260 0.040 7.518
Na Sn Au
8 2 1
Cartesian
-3.260 -1.171 8.891
-4.412 0.770 3.709
0.809 -5.210 6.305
-2.307 -4.481 4.893
-2.404 -1.940 2.785
-1.166 -5.086 9.098
-1.284 -1.295 6.098
1.962 -7.151 11.486
1.910 -4.589 9.530
0.664 -2.815 4.151
-2.512 0.511 0.757
```

Results
Polymorph energy (0 for the lowest one) in eV/atom: 0.019

---

[3]
The following is a DFT calculation (GGA-PBE) of a relaxed structure of Na6Sn3Au.

```
Na6Sn3Au
1.0
5.328 0.000 0.000
0.000 8.761 -2.770
0.000 -0.074 11.560
Na Sn Au
12 6 2
Cartesian
1.332 1.928 0.051
3.996 4.121 -0.434
1.332 4.565 9.224
3.996 6.758 8.739
1.332 0.395 4.474
3.996 8.292 4.316
1.332 6.357 3.951
1.332 3.953 5.898
3.996 4.734 2.893
1.332 7.508 6.992
3.996 2.330 4.839
3.996 1.179 1.798
3.996 1.036 9.873
1.332 7.651 -1.082
3.996 3.346 7.839
1.332 1.436 7.977
1.332 5.341 0.951
3.996 7.250 0.813
1.332 3.112 2.946
3.996 5.575 5.844
```

Results
E_tot in eV per formula unit: -24.97

---

[4]
The following is a DFT calculation (GGA-PBE) of a relaxed structure of Na3SnAu8.

```
Na3SnAu8
1.0
-3.023 -4.723 0.624
2.293 -5.002 -1.245
2.745 -4.017 8.407
Au Sn Na
8 1 3
Cartesian
2.717 -9.522 4.910
0.068 -9.383 5.841
1.211 -11.875 5.221
0.207 -5.013 1.339
-1.303 -7.371 1.651
2.081 -10.454 7.484
1.352 -7.511 0.718
1.080 -3.585 3.608
0.311 -9.995 2.382
2.724 -4.011 8.349
2.140 -7.164 7.158
1.007 -6.871 3.893
```

Results
E_tot in eV per formula unit: -37.45

---

[5]
The following is a DFT calculation (GGA-PBE) of a relaxed structure of NaSn2Au6.

```
NaSn2Au6
1.0
7.469 1.626 0.719
1.109 7.181 -4.103
1.522 -0.164 8.203
Sn Na Au
4 2 12
Cartesian
8.166 2.685 2.910
1.935 5.958 1.910
5.748 5.380 4.600
4.353 3.263 0.220
3.287 2.076 5.310
6.814 6.566 -0.491
1.433 3.349 0.637
7.522 4.048 6.340
2.579 4.594 -1.521
6.487 7.668 3.048
2.817 5.702 4.620
6.521 1.734 4.992
8.668 5.294 4.182
3.614 0.975 1.772
4.869 5.636 1.887
7.284 2.941 0.199
3.580 6.908 -0.173
5.232 3.006 2.932
```

Results
Polymorph energy (0 for the lowest one) in eV/atom: 0.000

---

[6]
The following is a DFT calculation (GGA-PBE) of a relaxed structure of NaSn3Au3.

```
NaSn3Au3
1.0
8.475 0.000 0.000
4.238 7.340 0.000
4.238 2.447 5.747
Na Au Sn
2 6 6
Cartesian
4.238 2.447 0.002
12.713 7.340 5.744
11.259 4.795 1.347
9.952 7.254 4.399
7.169 7.353 1.347
5.692 4.992 4.399
6.999 2.532 1.347
9.782 2.434 4.399
11.365 4.752 4.170
9.798 2.320 1.577
6.908 2.461 4.170
5.585 5.034 1.577
7.152 7.467 4.170
10.042 7.326 1.577
```

Results
Polymorph energy (0 for the lowest one) in eV/atom: 0.000

---

[7]
The following is a DFT calculation (GGA-PBE) of a relaxed structure of Na2Sn3Au2.

```
Na2Sn3Au2
1.0
-1.518 -3.160 2.780
5.212 2.283 1.841
-6.048 4.561 1.882
Na Au Sn
2 2 3
Cartesian
1.155 -0.254 3.941
-3.508 3.939 2.561
-2.203 2.445 5.177
-0.151 1.239 1.326
-2.424 0.653 3.019
-0.759 -1.580 1.390
0.070 3.031 3.484
```

Results
E_tot in eV per formula unit: -22.95

---

[8]
The following is a DFT calculation (GGA-PBE) of a relaxed structure of Na3Sn7Au4.

```
Na3Sn7Au4
1.0
-4.030 -1.759 -1.008
1.327 -4.553 -7.453
1.318 -9.783 1.709
Sn Na Au
7 3 4
Cartesian
-1.590 -12.465 -2.175
-0.686 -6.630 -5.879
-0.700 -9.466 -0.873
0.567 -9.622 -5.665
0.000 0.000 0.000
-1.953 -6.473 -1.087
0.204 -3.630 -4.577
-0.763 -3.285 -1.312
-0.623 -12.810 -5.440
1.322 -7.168 -2.872
0.420 -10.715 -3.170
-1.806 -5.381 -3.582
-1.909 -9.023 -6.908
0.523 -7.072 0.156
```

Results
E_tot in eV per formula unit: -48.40

---

[9]
The following is a DFT calculation (GGA-PBE) of a relaxed structure of Na2SnAu.

```
Na2SnAu
1.0
3.952 0.000 0.000
0.000 3.952 0.000
0.000 0.000 6.073
Au Na Sn
1 2 1
Cartesian
1.976 1.976 0.000
0.000 0.000 4.646
0.000 0.000 1.428
1.976 1.976 3.037
```

Results
E_tot in eV per formula unit: -10.73

---

[10]
The following is a DFT calculation (GGA-PBE) of a relaxed structure of Na2SnAu.

```
Na2SnAu
1.0
-0.830 3.802 -3.132
-3.565 -1.938 -1.408
-2.287 2.001 3.035
Au Na Sn
1 2 1
Cartesian
-3.341 1.932 -0.753
-1.144 1.001 1.517
-1.782 -0.969 -0.704
-0.415 1.901 -1.566
```

Results
E_tot in eV per formula unit: -10.80

---

[11]
The following is a DFT calculation (GGA-PBE) of a relaxed structure of NaSn2Au3.

```
NaSn2Au3
1.0
-2.322 3.481 -2.110
0.159 -4.075 -6.896
-5.822 -2.822 6.955
Sn Au Na
4 6 2
Cartesian
-2.074 -2.760 -2.270
-6.512 -4.275 0.114
-1.474 0.859 -2.165
-5.912 -0.657 0.218
-0.227 -2.950 -4.616
-2.728 -1.509 -4.690
-3.829 -0.404 -1.656
-7.759 -0.467 2.565
-4.156 -3.013 -0.395
-5.258 -1.908 2.639
-5.513 -2.569 -3.375
-2.473 -0.848 1.324
```

Results
Polymorph energy (0 for the lowest one) in eV/atom: 0.000

---

[12]
The following is a DFT calculation (GGA-PBE) of a relaxed structure of Na2SnAu.

```
Na2SnAu
1.0
-2.836 1.232 0.678
-1.733 -4.530 0.980
4.698 0.615 11.154
Au Na Sn
2 4 2
Cartesian
0.605 -0.743 3.882
-0.476 -1.941 8.929
0.185 -2.841 5.936
0.326 -1.640 11.738
-0.055 0.157 6.876
-0.197 -1.044 1.074
2.164 -0.158 9.343
-2.034 -2.526 3.469
```

Results
E_tot in eV per formula unit: -10.42

---

[13]
The following is a DFT calculation (GGA-PBE) of a relaxed structure of NaSn3Au3.

```
NaSn3Au3
1.0
7.685 0.000 0.000
0.000 7.685 0.000
0.000 0.000 7.685
Sn Au Na
6 6 2
Cartesian
0.000 3.842 5.764
3.842 5.764 0.000
5.764 0.000 3.842
1.921 0.000 3.842
3.842 1.921 0.000
0.000 3.842 1.921
0.000 5.764 3.842
1.921 3.842 0.000
5.764 3.842 0.000
3.842 0.000 1.921
3.842 0.000 5.764
0.000 1.921 3.842
3.842 3.842 3.842
0.000 0.000 0.000
```

Results
Polymorph energy (0 for the lowest one) in eV/atom: 0.187

---

[14]
The following is a DFT calculation (GGA-PBE) of a relaxed structure of NaSn6Au3.

```
NaSn6Au3
1.0
4.509 0.000 0.000
0.000 10.410 -1.425
0.000 0.900 10.594
Sn Au Na
12 6 2
Cartesian
3.382 9.239 -1.122
1.127 10.107 4.866
1.127 3.984 7.813
3.382 4.191 0.169
1.127 7.118 9.000
3.382 7.325 1.355
3.382 4.554 5.234
1.127 6.755 3.935
1.127 3.125 2.543
1.127 2.070 10.291
3.382 1.202 4.303
3.382 8.184 6.626
1.127 9.772 7.726
1.127 2.575 5.416
1.127 5.689 1.263
3.382 5.620 7.906
3.382 1.537 1.443
3.382 8.734 3.752
1.127 9.764 1.366
3.382 1.545 7.802
```

Results
E_tot in eV per formula unit: -37.09

---

[15]
The following is a DFT calculation (GGA-PBE) of a relaxed structure of Na2SnAu3.

```
Na2SnAu3
1.0
-3.138 2.591 -3.871
-0.406 -2.453 -5.036
-4.923 -2.363 -1.314
Au Na Sn
3 2 1
Cartesian
-0.203 -1.227 -2.518
-2.462 -1.181 -0.657
-1.569 1.295 -1.936
-5.284 -1.389 -6.379
-3.183 -0.837 -3.842
0.000 0.000 0.000
```

Results
Polymorph energy (0 for the lowest one) in eV/atom: 0.000

---

[16]
The following is a DFT calculation (GGA-PBE) of a relaxed structure of Na5SnAu.

```
Na5SnAu
1.0
5.826 -0.929 -1.199
0.967 5.819 -1.199
1.118 0.805 11.129
Na Au Sn
10 2 2
Cartesian
7.016 2.244 7.680
5.476 2.706 4.204
3.795 5.539 2.116
2.434 2.989 4.528
4.116 0.156 6.616
3.745 3.932 -1.361
4.166 1.763 10.092
2.429 5.556 7.148
5.481 0.139 1.584
0.895 3.451 1.052
3.749 2.545 1.584
4.162 3.150 7.148
0.559 0.402 5.565
0.000 0.000 0.000
```

Results
Polymorph energy (0 for the lowest one) in eV/atom: 0.025

---

[17]
The following is a DFT calculation (GGA-PBE) of a relaxed structure of Na5Sn2Au4.

```
Na5Sn2Au4
1.0
4.128 0.000 0.000
0.000 7.163 0.000
-2.064 -3.582 9.830
Na Au Sn
5 4 2
Cartesian
0.000 1.547 7.346
0.000 -1.547 7.346
2.064 2.034 2.484
2.064 5.129 2.484
2.064 0.000 0.000
0.000 4.947 0.000
2.064 3.582 7.925
0.000 2.217 0.000
0.000 0.000 1.905
2.064 3.582 5.268
0.000 0.000 4.562
```

Results
E_tot in eV per formula unit: -29.18

---

[18]
The following is a DFT calculation (GGA-PBE) of a relaxed structure of Na3Sn5Au2.

```
Na3Sn5Au2
1.0
6.917 0.000 0.000
3.459 9.163 -0.681
3.459 1.775 9.015
Sn Na Au
10 6 4
Cartesian
8.647 5.469 4.167
3.459 5.079 1.722
5.188 2.571 1.959
6.917 3.008 4.440
12.105 8.368 6.376
1.729 2.571 1.959
8.647 8.368 6.376
10.376 5.859 6.613
6.917 7.931 3.894
5.188 5.469 4.167
6.917 5.006 7.651
10.376 8.705 2.796
6.917 5.932 0.683
1.729 0.000 0.000
3.459 2.233 5.538
5.188 0.000 0.000
6.917 1.278 6.476
10.376 4.356 8.821
3.459 6.583 -0.487
6.917 9.661 1.859
```

Results
E_tot in eV per formula unit: -32.29

---

[19]
The following is a DFT calculation (GGA-PBE) of a relaxed structure of Na2Sn12Au7.

```
Na2Sn12Au7
1.0
-3.865 -2.056 0.379
-2.563 2.767 -11.142
5.590 -10.062 2.425
Au Sn Na
7 12 2
Cartesian
3.500 -7.687 -6.021
2.872 -5.786 -2.097
0.827 -1.893 -1.838
-0.403 -4.962 -5.558
4.291 -7.777 1.567
-2.638 -0.558 -4.463
-2.293 -2.093 -9.270
2.868 -5.265 0.682
0.969 -7.305 -4.279
-0.889 -4.549 -8.279
-3.121 -0.190 -7.399
1.710 -3.929 -3.885
-1.243 0.446 -10.268
-1.323 -2.874 -3.614
-0.479 0.396 -2.740
1.923 -8.372 -0.337
-0.072 -4.765 -1.109
2.186 -5.371 -6.851
4.040 -8.163 -3.089
0.155 -1.509 -6.620
-1.933 -1.028 0.189
```

Results
E_tot in eV per formula unit: -77.25

---

[20]
The following is a DFT calculation (GGA-PBE) of a relaxed structure of Na3Sn4Au4.

```
Na3Sn4Au4
1.0
-3.798 -2.373 -1.823
2.167 -2.644 -1.073
-1.131 -4.357 14.440
Au Na Sn
4 3 4
Cartesian
-3.482 -6.769 9.652
-1.723 -5.710 4.610
-1.039 -3.664 6.934
0.720 -2.605 1.892
0.000 0.000 0.000
-2.449 -3.127 2.761
-0.313 -6.247 8.784
0.354 -3.897 4.336
-3.116 -5.478 7.208
-1.008 -3.187 -0.165
-1.754 -6.188 11.709
```

Results
Polymorph energy (0 for the lowest one) in eV/atom: 0.000